# K2MgIn6Sn

A relaxed K2MgIn6Sn crystal (PBE, Alexandria via LeMat-Bulk).

## Properties
The density of states at the Fermi level is 3.502 states/eV/cell. As for the energy: -24.6 eV/cell. For the formation energy, the calculation gives -0.04 eV/atom. As for the space group: P-1.

Unit cell a=7.903 b=7.703 c=7.502 alpha=60.89 beta=62.58 gamma=90.56
Atoms (fractional coordinates):
In  0.374  0.867  0.970
In  0.626  0.133  0.030
In  0.626  0.839  0.509
In  0.375  0.345  0.782
In  0.625  0.655  0.218
In  0.374  0.161  0.491
Mg  0.500  0.500  0.000
K  0.934  0.307  0.377
K  0.066  0.693  0.623
Sn  0.000  0.000  0.000